Density functional theory data (PBE) for an optimized crystal structure of Pm6SiPb3.

Unit cell a=11.596 b=4.275 c=13.547 alpha=90.00 beta=108.96 gamma=90.00
Fractional coordinates of all 20 atoms:
Pm1 0.012 0.250 0.349
Pm2 0.088 0.250 0.905
Pm3 0.256 0.750 0.331
Pm4 0.350 0.750 0.775
Pm5 0.357 0.750 0.138
Pm6 0.398 0.250 0.553
Pm7 0.602 0.750 0.447
Pm8 0.643 0.250 0.862
Pm9 0.650 0.250 0.225
Pm10 0.744 0.250 0.669
Pm11 0.912 0.750 0.095
Pm12 0.988 0.750 0.651
Si1 0.443 0.250 0.320
Si2 0.557 0.750 0.680
Pb1 0.128 0.250 0.147
Pb2 0.173 0.750 0.529
Pb3 0.391 0.250 0.963
Pb4 0.609 0.750 0.037
Pb5 0.827 0.250 0.471
Pb6 0.872 0.750 0.853

Calculated values
calculated volume: 635.1 Å³ per cell
raw formation energy: -37.8 kJ per mole of atoms
DFT total energy: -4.897 eV per atom